Record 1
{"formula": "CePm2Bi", "functional": "PBE", "state": "relaxed", "cell": [[7.8652, 0.0000, 0.0000], [0.0000, 7.8652, 0.0000], [0.0000, 0.0000, 7.8652]], "species": ["Ce", "Ce", "Ce", "Ce", "Pm", "Pm", "Pm", "Pm", "Pm", "Pm", "Pm", "Pm", "Bi", "Bi", "Bi", "Bi"], "frac_coords": [[0.0000, 0.0000, 0.0000], [0.0000, 0.5000, 0.5000], [0.5000, 0.0000, 0.5000], [0.5000, 0.5000, 0.0000], [0.2500, 0.2500, 0.2500], [0.2500, 0.2500, 0.7500], [0.2500, 0.7500, 0.2500], [0.2500, 0.7500, 0.7500], [0.7500, 0.2500, 0.2500], [0.7500, 0.2500, 0.7500], [0.7500, 0.7500, 0.2500], [0.7500, 0.7500, 0.7500], [0.0000, 0.0000, 0.5000], [0.0000, 0.5000, 0.0000], [0.5000, 0.0000, 0.0000], [0.5000, 0.5000, 0.5000]], "de_polymorph_ev_per_atom": 0.224, "formation_energy_kj_per_mol_fu": -62}

Record 2
{"formula": "Rb2LiPdCl6", "functional": "PBE", "state": "relaxed", "cell": [[3.5627, 2.0569, 12.0397], [-3.5627, 2.0569, 12.0397], [0.0000, -4.1138, 12.0397]], "species": ["Rb", "Rb", "Rb", "Rb", "Li", "Li", "Pd", "Pd", "Cl", "Cl", "Cl", "Cl", "Cl", "Cl", "Cl", "Cl", "Cl", "Cl", "Cl", "Cl"], "frac_coords": [[0.1232, 0.1232, 0.1232], [0.2967, 0.2967, 0.2967], [0.7033, 0.7033, 0.7033], [0.8768, 0.8768, 0.8768], [0.4156, 0.4156, 0.4156], [0.5844, 0.5844, 0.5844], [0.0000, 0.0000, 0.0000], [0.5000, 0.5000, 0.5000], [0.1432, 0.6189, 0.6189], [0.2012, 0.2012, 0.7164], [0.2012, 0.7164, 0.2012], [0.2836, 0.7988, 0.7988], [0.3811, 0.3811, 0.8568], [0.3811, 0.8568, 0.3811], [0.6189, 0.1432, 0.6189], [0.6189, 0.6189, 0.1432], [0.7164, 0.2012, 0.2012], [0.7988, 0.2836, 0.7988], [0.7988, 0.7988, 0.2836], [0.8568, 0.3811, 0.3811]], "de_polymorph_ev_per_atom": 0.000, "formation_energy_uncorrected_mev_per_atom": -1312}

Number 1: energy -79.84 eV per cell. Number 2: energy -66.48 eV per cell.